A plane-wave DFT calculation with PBE was carried out for crystalline KTlRe2 at its relaxed geometry.

a b c (Å): 2.8439 5.0086 5.6818
angles (deg): 90.00 90.00 90.00
Atoms (fractional coordinates):
K (0.0000, 0.0000, 0.0000)
Tl (0.5000, 0.5000, 0.0000)
Re (0.0000, 0.5000, 0.5000)
Re (0.5000, 0.0000, 0.5000)

Computed properties:
Energy relative to the elements (eV per atom): 1.51
ΔE to the lowest computed polymorph (meV/atom): 903.6